First-principles (GGA-PBE) data for a relaxed structure of Zn2PdPt4, as listed in Alexandria via LeMat-Bulk.

## Properties
Theoretical density: 14.1 g/cm³
Energy relative to the lowest polymorph listed for this composition: 0.340 eV/atom
DFT formation energy: 0.033 eV/atom
Final energy: -31.7 eV per cell

Geometry as CIF:
```
data_Zn2PdPt4
_cell_length_a 9.854
_cell_length_b 9.854
_cell_length_c 9.854
_cell_angle_alpha 159.24
_cell_angle_beta 159.24
_cell_angle_gamma 29.53
_space_group_name_H-M_alt 'P 1'
_space_group_IT_number 1
_space_group_name_Hall 'P 1'
loop_
_atom_site_label
_atom_site_type_symbol
_atom_site_fract_x
_atom_site_fract_y
_atom_site_fract_z
Zn1 Zn 0.081 0.081 0.000
Zn2 Zn 0.919 0.919 0.000
Pd1 Pd 0.500 0.500 0.000
Pt1 Pt 0.250 0.750 0.500
Pt2 Pt 0.362 0.362 0.000
Pt3 Pt 0.638 0.638 0.000
Pt4 Pt 0.750 0.250 0.500
```

---

First-principles (GGA-PBE) data for a relaxed structure of Zn3Pd8Pt2, as listed in Alexandria via LeMat-Bulk.

## Properties
Theoretical density: 11.6 g/cm³
Energy relative to the lowest polymorph listed for this composition: 0.055 eV/atom
DFT formation energy: -0.169 eV/atom
Final energy: -59.6 eV per cell

Geometry as CIF:
```
data_Zn3Pd8Pt2
_cell_length_a 6.800
_cell_length_b 6.800
_cell_length_c 4.731
_cell_angle_alpha 103.94
_cell_angle_beta 103.94
_cell_angle_gamma 84.54
_space_group_name_H-M_alt 'P 1'
_space_group_IT_number 1
_space_group_name_Hall 'P 1'
loop_
_atom_site_label
_atom_site_type_symbol
_atom_site_fract_x
_atom_site_fract_y
_atom_site_fract_z
Zn1 Zn 0.000 0.000 0.000
Zn2 Zn 0.248 0.752 0.500
Zn3 Zn 0.752 0.248 0.500
Pd1 Pd 0.090 0.604 0.850
Pd2 Pd 0.145 0.145 0.543
Pd3 Pd 0.396 0.910 0.150
Pd4 Pd 0.431 0.431 0.704
Pd5 Pd 0.569 0.569 0.296
Pd6 Pd 0.604 0.090 0.850
Pd7 Pd 0.855 0.855 0.457
Pd8 Pd 0.910 0.396 0.150
Pt1 Pt 0.291 0.291 0.120
Pt2 Pt 0.709 0.709 0.880
```

---

First-principles (GGA-PBE) data for a relaxed structure of Zn2Pd2Pt7, as listed in Alexandria via LeMat-Bulk.

## Properties
Theoretical density: 16.0 g/cm³
Energy relative to the lowest polymorph listed for this composition: 0.000 eV/atom
DFT formation energy: -0.084 eV/atom
Final energy: -56.1 eV per cell

Geometry as CIF:
```
data_Zn2Pd2Pt7
_cell_length_a 6.618
_cell_length_b 6.618
_cell_length_c 6.618
_cell_angle_alpha 138.91
_cell_angle_beta 102.38
_cell_angle_gamma 91.83
_space_group_name_H-M_alt 'P 1'
_space_group_IT_number 1
_space_group_name_Hall 'P 1'
loop_
_atom_site_label
_atom_site_type_symbol
_atom_site_fract_x
_atom_site_fract_y
_atom_site_fract_z
Zn1 Zn 0.178 0.000 0.178
Zn2 Zn 0.822 0.000 0.822
Pd1 Pd 0.239 0.239 0.000
Pd2 Pd 0.761 0.761 0.000
Pt1 Pt 0.000 0.500 0.500
Pt2 Pt 0.096 0.760 0.335
Pt3 Pt 0.336 0.500 0.836
Pt4 Pt 0.425 0.760 0.665
Pt5 Pt 0.575 0.240 0.335
Pt6 Pt 0.664 0.500 0.164
Pt7 Pt 0.904 0.240 0.665
```

---

First-principles (GGA-PBE) data for a relaxed structure of Zn4PdPt7, as listed in Alexandria via LeMat-Bulk.

## Properties
Theoretical density: 14.4 g/cm³
DFT formation energy: -0.071 eV/atom
Final energy: -53.4 eV per cell

Geometry as CIF:
```
data_Zn4PdPt7
_cell_length_a 5.843
_cell_length_b 5.843
_cell_length_c 9.080
_cell_angle_alpha 118.22
_cell_angle_beta 118.22
_cell_angle_gamma 49.24
_space_group_name_H-M_alt 'P 1'
_space_group_IT_number 1
_space_group_name_Hall 'P 1'
loop_
_atom_site_label
_atom_site_type_symbol
_atom_site_fract_x
_atom_site_fract_y
_atom_site_fract_z
Zn1 Zn 0.071 0.071 0.266
Zn2 Zn 0.237 0.237 0.822
Zn3 Zn 0.763 0.763 0.178
Zn4 Zn 0.929 0.929 0.734
Pd1 Pd 0.500 0.500 0.500
Pt1 Pt 0.000 0.000 0.500
Pt2 Pt 0.148 0.148 0.043
Pt3 Pt 0.286 0.286 0.576
Pt4 Pt 0.438 0.438 0.152
Pt5 Pt 0.562 0.562 0.848
Pt6 Pt 0.714 0.714 0.424
Pt7 Pt 0.852 0.852 0.957
```